Run i
First-principles (PBE) data for a relaxed structure of Pr2PuNi, as listed in Alexandria via LeMat-Bulk.

Cell and atoms, written as POSCAR:
```
Pr2PuNi
1.0
3.5491 0.0000 0.0000
0.0000 3.5491 0.0000
0.0000 0.0000 8.6520
Pr Pu Ni
2 1 1
Direct
0.0000 0.0000 0.1973
0.0000 0.0000 0.8027
0.5000 0.5000 0.5000
0.5000 0.5000 0.0000
```

- SG = P4/mmm
- DOS(E_F) (states/eV/cell) = 8.307

---

Run ii
First-principles (PBE) data for a relaxed structure of Pr2PuNi, as listed in Alexandria via LeMat-Bulk.

Cell and atoms, written as POSCAR:
```
Pr2PuNi
1.0
1.8303 1.0567 10.4687
-1.8303 1.0567 10.4687
0.0000 -2.1135 10.4687
Pr Pu Ni
2 1 1
Direct
0.1087 0.1087 0.1087
0.8913 0.8913 0.8913
0.0000 0.0000 0.0000
0.5000 0.5000 0.5000
```

- SG = R-3m
- DOS(E_F) (states/eV/cell) = 12.063

---

Which of them is most stable? Easy: run i.

---

Run i
First-principles (PBE) data for a relaxed structure of PrPu2Ni, as listed in Alexandria via LeMat-Bulk.

Cell and atoms, written as POSCAR:
```
PrPu2Ni
1.0
3.4897 0.0000 0.0000
0.0000 3.4897 0.0000
0.0000 0.0000 8.2452
Pr Pu Ni
1 2 1
Direct
0.0000 0.0000 0.0000
0.5000 0.5000 0.3148
0.5000 0.5000 0.6852
0.0000 0.0000 0.5000
```

- SG = P4/mmm
- DOS(E_F) (states/eV/cell) = 15.021

---

Run ii
First-principles (PBE) data for a relaxed structure of PrPu2Ni, as listed in Alexandria via LeMat-Bulk.

Cell and atoms, written as POSCAR:
```
PrPu2Ni
1.0
1.7643 1.0186 10.1788
-1.7643 1.0186 10.1788
0.0000 -2.0372 10.1788
Pr Pu Ni
1 2 1
Direct
0.0000 0.0000 0.0000
0.1079 0.1079 0.1079
0.8921 0.8921 0.8921
0.5000 0.5000 0.5000
```

- SG = R-3m
- DOS(E_F) (states/eV/cell) = 17.600

---

Which of them is most stable? Easy: run i.

---

Run i
First-principles (PBE) data for a relaxed structure of Pr2Ni2Rh, as listed in Alexandria via LeMat-Bulk.

Cell and atoms, written as POSCAR:
```
Pr2Ni2Rh
1.0
7.0823 0.0000 0.0000
0.0000 7.0823 0.0000
0.0000 0.0000 3.9705
Pr Ni Rh
4 4 2
Direct
0.1863 0.3137 0.0000
0.3137 0.8137 0.0000
0.6863 0.1863 0.0000
0.8137 0.6863 0.0000
0.1185 0.6185 0.5000
0.3815 0.1185 0.5000
0.6185 0.8815 0.5000
0.8815 0.3815 0.5000
0.0000 0.0000 0.5000
0.5000 0.5000 0.5000
```

- SG = P4/mbm
- DOS(E_F) (states/eV/cell) = 6.286

---

Run ii
First-principles (PBE) data for a relaxed structure of Pr2Ni2Rh, as listed in Alexandria via LeMat-Bulk.

Cell and atoms, written as POSCAR:
```
Pr2Ni2Rh
1.0
5.3056 -2.0745 0.0000
5.3056 2.0745 0.0000
-4.6158 0.0000 9.7065
Pr Ni Rh
4 4 2
Direct
0.0990 0.0990 0.3956
0.3006 0.3006 0.8609
0.6994 0.6994 0.1391
0.9010 0.9010 0.6044
0.0362 0.0362 0.9132
0.3851 0.3851 0.3967
0.6149 0.6149 0.6033
0.9638 0.9638 0.0868
0.4257 0.4257 0.1858
0.5743 0.5743 0.8142
```

- SG = C2/m
- DOS(E_F) (states/eV/cell) = 6.878

---

Which of them is most stable? Easy: run ii.

---

Run i
First-principles (PBE) data for a relaxed structure of Pr6NiRh2, as listed in Alexandria via LeMat-Bulk.

Cell and atoms, written as POSCAR:
```
Pr6NiRh2
1.0
6.7743 0.0000 0.0000
0.0000 7.4712 0.0000
-6.2947 0.0000 10.2943
Pr Ni Rh
12 2 4
Direct
0.0911 0.0500 0.2527
0.0911 0.4500 0.7527
0.2499 0.6735 0.0759
0.2499 0.8265 0.5759
0.4006 0.1796 0.0684
0.4006 0.3204 0.5684
0.5994 0.6796 0.4316
0.5994 0.8204 0.9316
0.7501 0.1735 0.4241
0.7501 0.3265 0.9241
0.9089 0.5500 0.2473
0.9089 0.9500 0.7473
0.0000 0.0000 0.0000
0.0000 0.5000 0.5000
0.3233 0.1161 0.7692
0.3233 0.3839 0.2692
0.6767 0.6161 0.7308
0.6767 0.8839 0.2308
```

- SG = P2_1/c
- DOS(E_F) (states/eV/cell) = 21.078

---

Run ii
First-principles (PBE) data for a relaxed structure of Pr6NiRh2, as listed in Alexandria via LeMat-Bulk.

Cell and atoms, written as POSCAR:
```
Pr6NiRh2
1.0
7.0755 -2.0889 0.0000
7.0755 2.0889 0.0000
-4.0330 0.0000 9.1554
Pr Ni Rh
6 1 2
Direct
0.0713 0.0713 0.3116
0.3507 0.3507 0.3516
0.3530 0.3530 0.9462
0.6470 0.6470 0.0538
0.6493 0.6493 0.6484
0.9287 0.9287 0.6884
0.0000 0.0000 0.0000
0.2777 0.2777 0.6175
0.7223 0.7223 0.3825
```

- SG = C2/m
- DOS(E_F) (states/eV/cell) = 10.330

---

Which of them is most stable? Easy: run i.

---

Run i
First-principles (PBE) data for a relaxed structure of Pr8Ni2Rh, as listed in Alexandria via LeMat-Bulk.

Cell and atoms, written as POSCAR:
```
Pr8Ni2Rh
1.0
9.3002 -2.6150 0.0000
9.3002 2.6150 0.0000
-2.0387 0.0000 6.4019
Pr Ni Rh
8 2 1
Direct
0.0345 0.0345 0.2981
0.1976 0.1976 0.8521
0.3230 0.3230 0.5015
0.4100 0.4100 0.0439
0.5900 0.5900 0.9561
0.6770 0.6770 0.4985
0.8024 0.8024 0.1479
0.9655 0.9655 0.7019
0.1738 0.1738 0.2447
0.8262 0.8262 0.7553
0.5000 0.5000 0.5000
```

- SG = C2/m
- DOS(E_F) (states/eV/cell) = 11.477

---

Run ii
First-principles (PBE) data for a relaxed structure of Pr8Ni2Rh, as listed in Alexandria via LeMat-Bulk.

Cell and atoms, written as POSCAR:
```
Pr8Ni2Rh
1.0
4.3033 -6.2078 0.0000
4.3033 6.2078 0.0000
-2.2889 0.0000 6.1710
Pr Ni Rh
8 2 1
Direct
0.0000 0.0000 0.0000
0.0083 0.2864 0.5616
0.1643 0.5453 0.1818
0.2864 0.0083 0.5616
0.4443 0.7171 0.8163
0.5453 0.1643 0.1818
0.7171 0.4443 0.8163
0.7234 0.7234 0.4010
0.0537 0.6854 0.7066
0.6854 0.0537 0.7066
0.3738 0.3738 0.4231
```

- SG = Cm
- DOS(E_F) (states/eV/cell) = 12.418

---

Which of them is most stable? Easy: run i.

---

Run i
First-principles (PBE) data for a relaxed structure of PrNiRh2, as listed in Alexandria via LeMat-Bulk.

Cell and atoms, written as POSCAR:
```
PrNiRh2
1.0
2.6791 1.5468 8.3910
-2.6791 1.5468 8.3910
0.0000 -3.0936 8.3910
Pr Ni Rh
3 3 6
Direct
0.0000 0.0000 0.0000
0.1401 0.1401 0.1401
0.8599 0.8599 0.8599
0.3329 0.3329 0.3329
0.5000 0.5000 0.5000
0.6671 0.6671 0.6671
0.0810 0.5805 0.5805
0.4195 0.4195 0.9190
0.4195 0.9190 0.4195
0.5805 0.0810 0.5805
0.5805 0.5805 0.0810
0.9190 0.4195 0.4195
```

- SG = R-3m
- DOS(E_F) (states/eV/cell) = 10.156

---

Run ii
First-principles (PBE) data for a relaxed structure of PrNiRh2, as listed in Alexandria via LeMat-Bulk.

Cell and atoms, written as POSCAR:
```
PrNiRh2
1.0
2.5695 -3.4384 0.0000
2.5695 3.4384 0.0000
0.0000 0.0000 4.2453
Pr Ni Rh
1 1 2
Direct
0.0000 0.0000 0.0000
0.5000 0.5000 0.0000
0.3138 0.6862 0.5000
0.6862 0.3138 0.5000
```

- SG = Cmmm
- DOS(E_F) (states/eV/cell) = 6.234

---

Which of them is most stable? Easy: run i.

---

Run i
First-principles (PBE) data for a relaxed structure of Pr4Ni2Rh, as listed in Alexandria via LeMat-Bulk.

Cell and atoms, written as POSCAR:
```
Pr4Ni2Rh
1.0
-4.4988 4.5003 4.6040
4.4988 -4.5003 4.6040
4.4988 4.5003 -4.6040
Pr Ni Rh
8 4 2
Direct
0.1988 0.2536 0.5548
0.1988 0.6440 0.9452
0.2538 0.1989 0.0549
0.3559 0.8011 0.5549
0.6441 0.1989 0.4451
0.7462 0.8011 0.9451
0.8012 0.3560 0.0548
0.8012 0.7464 0.4452
0.0000 0.5000 0.5000
0.5000 0.0000 0.0000
0.5000 0.5000 0.0000
0.5000 0.5000 0.5000
0.1246 0.8746 0.2500
0.8754 0.1254 0.7500
```

- SG = Imma
- DOS(E_F) (states/eV/cell) = 9.778

---

Run ii
First-principles (PBE) data for a relaxed structure of Pr4Ni2Rh, as listed in Alexandria via LeMat-Bulk.

Cell and atoms, written as POSCAR:
```
Pr4Ni2Rh
1.0
5.6494 -4.4830 0.0000
5.6494 4.4830 0.0000
-2.6290 0.0000 7.1405
Pr Ni Rh
8 4 2
Direct
0.0000 0.0000 0.0000
0.0078 0.0078 0.5184
0.4829 0.9788 0.8743
0.4879 0.9917 0.3734
0.5000 0.5000 0.0016
0.5050 0.5050 0.5139
0.9788 0.4829 0.8743
0.9917 0.4879 0.3734
0.2034 0.6947 0.7294
0.2813 0.2813 0.1496
0.2933 0.2933 0.6488
0.6947 0.2034 0.7294
0.7811 0.7811 0.6384
0.7836 0.7836 0.1549
```

- SG = Cm
- DOS(E_F) (states/eV/cell) = 11.807

---

Which of them is most stable? Easy: run ii.

---

Run i
First-principles (PBE) data for a relaxed structure of PrThNiRh, as listed in Alexandria via LeMat-Bulk.

Cell and atoms, written as POSCAR:
```
PrThNiRh
1.0
0.0000 3.5446 3.5446
3.5446 0.0000 3.5446
3.5446 3.5446 0.0000
Pr Th Ni Rh
1 1 1 1
Direct
0.0000 0.0000 0.0000
0.5000 0.5000 0.5000
0.2500 0.2500 0.2500
0.7500 0.7500 0.7500
```

- SG = F-43m
- DOS(E_F) (states/eV/cell) = 5.317

---

Run ii
First-principles (PBE) data for a relaxed structure of PrThNiRh, as listed in Alexandria via LeMat-Bulk.

Cell and atoms, written as POSCAR:
```
PrThNiRh
1.0
4.2198 0.0000 0.0000
0.0000 1.9207 5.6582
0.0000 -1.9207 5.6582
Pr Th Ni Rh
1 1 1 1
Direct
0.0000 0.0000 0.0000
0.5000 0.7314 0.7314
0.5000 0.4425 0.4425
0.0000 0.2681 0.2681
```

- SG = Amm2
- DOS(E_F) (states/eV/cell) = 3.005

---

Which of them is most stable? Easy: run ii.

---

Run i
First-principles (PBE) data for a relaxed structure of PrNiRu, as listed in Alexandria via LeMat-Bulk.

Cell and atoms, written as POSCAR:
```
PrNiRu
1.0
-2.5817 2.6732 3.8801
2.5817 -2.6732 3.8801
2.5817 2.6732 -3.8801
Pr Ni Ru
2 2 2
Direct
0.3713 0.1213 0.2500
0.6287 0.8787 0.7500
0.0000 0.5000 0.5000
0.5000 0.5000 0.0000
0.0000 0.0000 0.5000
0.0000 0.5000 0.0000
```

- SG = Imma
- DOS(E_F) (states/eV/cell) = 5.706

---

Run ii
First-principles (PBE) data for a relaxed structure of PrNiRu, as listed in Alexandria via LeMat-Bulk.

Cell and atoms, written as POSCAR:
```
PrNiRu
1.0
6.0859 -2.4198 0.0000
6.0859 2.4198 0.0000
-1.6474 0.0000 4.1763
Pr Ni Ru
2 2 2
Direct
0.1172 0.1172 0.3677
0.8828 0.8828 0.6323
0.4477 0.4477 0.1965
0.5523 0.5523 0.8035
0.0000 0.5000 0.0000
0.5000 0.0000 0.0000
```

- SG = C2/m
- DOS(E_F) (states/eV/cell) = 5.414

---

Which of them is most stable? Easy: run i.

---

Run i
First-principles (PBE) data for a relaxed structure of TbPrNiRu, as listed in Alexandria via LeMat-Bulk.

Cell and atoms, written as POSCAR:
```
TbPrNiRu
1.0
0.0000 3.4732 3.4732
3.4732 0.0000 3.4732
3.4732 3.4732 0.0000
Tb Pr Ni Ru
1 1 1 1
Direct
0.0000 0.0000 0.0000
0.5000 0.5000 0.5000
0.7500 0.7500 0.7500
0.2500 0.2500 0.2500
```

- SG = F-43m
- DOS(E_F) (states/eV/cell) = 3.446

---

Run ii
First-principles (PBE) data for a relaxed structure of TbPrNiRu, as listed in Alexandria via LeMat-Bulk.

Cell and atoms, written as POSCAR:
```
TbPrNiRu
1.0
4.0533 0.0000 0.0000
0.0000 2.0208 5.4033
0.0000 -2.0208 5.4033
Tb Pr Ni Ru
1 1 1 1
Direct
0.0000 0.0000 0.0000
0.5000 0.7144 0.7144
0.0000 0.2958 0.2958
0.5000 0.4330 0.4330
```

- SG = Amm2
- DOS(E_F) (states/eV/cell) = 3.484

---

Which of them is most stable? Easy: run ii.

---

Run i
First-principles (PBE) data for a relaxed structure of Pr2NiS, as listed in Alexandria via LeMat-Bulk.

Cell and atoms, written as POSCAR:
```
Pr2NiS
1.0
2.0082 1.1594 7.1436
-2.0082 1.1594 7.1436
0.0000 -2.3189 7.1436
Pr Ni S
2 1 1
Direct
0.2466 0.2466 0.2466
0.7534 0.7534 0.7534
0.5000 0.5000 0.5000
0.0000 0.0000 0.0000
```

- SG = R-3m
- DOS(E_F) (states/eV/cell) = 2.783

---

Run ii
First-principles (PBE) data for a relaxed structure of Pr2NiS, as listed in Alexandria via LeMat-Bulk.

Cell and atoms, written as POSCAR:
```
Pr2NiS
1.0
1.9991 1.1542 7.2896
-1.9991 1.1542 7.2896
0.0000 -2.3084 7.2896
Pr Ni S
2 1 1
Direct
0.0000 0.0000 0.0000
0.1793 0.1793 0.1793
0.5898 0.5898 0.5898
0.4224 0.4224 0.4224
```

- SG = R3m
- DOS(E_F) (states/eV/cell) = 2.531

---

Which of them is most stable? Easy: run i.

---

Run i
First-principles (PBE) data for a relaxed structure of PrNi4Sb2, as listed in Alexandria via LeMat-Bulk.

Cell and atoms, written as POSCAR:
```
PrNi4Sb2
1.0
2.1197 1.2238 7.9084
-2.1197 1.2238 7.9084
0.0000 -2.4476 7.9084
Pr Ni Sb
1 4 2
Direct
0.0000 0.0000 0.0000
0.1403 0.1403 0.1403
0.4454 0.4454 0.4454
0.5546 0.5546 0.5546
0.8597 0.8597 0.8597
0.2463 0.2463 0.2463
0.7537 0.7537 0.7537
```

- SG = R-3m
- DOS(E_F) (states/eV/cell) = 5.238

---

Run ii
First-principles (PBE) data for a relaxed structure of PrNi4Sb2, as listed in Alexandria via LeMat-Bulk.

Cell and atoms, written as POSCAR:
```
PrNi4Sb2
1.0
7.7118 0.0000 0.0000
0.0000 7.7118 0.0000
0.0000 0.0000 4.0362
Pr Ni Sb
2 8 4
Direct
0.0000 0.0000 0.0000
0.5000 0.5000 0.5000
0.0879 0.3610 0.5000
0.1390 0.5879 0.0000
0.3610 0.0879 0.5000
0.4121 0.8610 0.0000
0.5879 0.1390 0.0000
0.6390 0.9121 0.5000
0.8610 0.4121 0.0000
0.9121 0.6390 0.5000
0.2193 0.7807 0.5000
0.2807 0.2807 0.0000
0.7193 0.7193 0.0000
0.7807 0.2193 0.5000
```

- SG = P4_2/mnm
- DOS(E_F) (states/eV/cell) = 9.463

---

Which of them is most stable? Easy: run i.